1.
Computed, not measured: a geometry-optimized Y2TmTl2 structure at the GGA-PBE level of DFT.

Structure (POSCAR):
```
Y2TmTl2
1.0
-0.0257 1.8492 3.9777
4.7535 -5.9515 2.7975
6.5760 4.3268 -1.9690
Y Tl Tm
4 4 2
direct
0.5000 0.3280 0.1720
0.5000 0.6720 0.8280
0.5000 0.8280 0.3280
0.5000 0.1720 0.6720
0.0000 0.1312 0.3688
0.0000 0.3688 0.8688
0.0000 0.8688 0.6312
0.0000 0.6312 0.1312
0.0000 0.0000 0.0000
0.0000 0.5000 0.5000
```

Energy of formation from the pure elements = -0.32 eV per atom
DOS at the Fermi energy = 9.90 states/eV per cell
VASP energy = -4.747 eV/atom

***

2.
Computed, not measured: a geometry-optimized KNa3Cr structure at the GGA-PBE level of DFT.

Structure (POSCAR):
```
KNa3Cr
1.0
6.1536 0.0000 0.0000
0.0000 6.1536 0.0000
0.0000 0.0000 6.1536
Na K Cr
3 1 1
direct
0.0000 0.0000 0.5000
0.0000 0.5000 0.0000
0.5000 0.0000 0.0000
0.0000 0.0000 0.0000
0.5000 0.5000 0.5000
```

Energy of formation from the pure elements = 0.99 eV per atom
DOS at the Fermi energy = 3.34 states/eV per cell
VASP energy = -1.944 eV/atom
Offset from the most stable computed form = 2.25 eV per formula unit

***

3.
Computed, not measured: a geometry-optimized FeAs6Ru structure at the GGA-PBE level of DFT.

Structure (POSCAR):
```
FeAs6Ru
1.0
6.9306 -0.0374 -2.4368
-3.4450 6.0131 -2.4387
-0.0108 -0.0144 7.3205
As Fe Ru
12 2 2
direct
0.1521 0.6587 0.8108
0.8479 0.3413 0.1892
0.6491 0.8041 0.1445
0.1964 0.8442 0.3401
0.8036 0.1558 0.6599
0.3404 0.4955 0.1445
0.1473 0.3505 0.4977
0.4959 0.1438 0.3401
0.5041 0.8562 0.6599
0.8527 0.6495 0.5023
0.3509 0.1959 0.8555
0.6596 0.5045 0.8555
0.5000 0.0000 0.0000
0.0000 0.5000 0.0000
0.5000 0.5000 0.5000
0.0000 0.0000 0.5000
```

Energy of formation from the pure elements = -0.17 eV per atom
DOS at the Fermi energy = 13.83 states/eV per cell
VASP energy = -5.877 eV/atom

***

4.
Computed, not measured: a geometry-optimized ErGa3Au3 structure at the GGA-PBE level of DFT.

Structure (POSCAR):
```
ErGa3Au3
1.0
-1.0452 6.2041 3.0852
-4.4183 1.8067 -5.1299
-5.3374 -2.7105 3.6424
Au Ga Er
6 6 2
direct
0.0000 0.2500 0.5000
0.5000 0.0000 0.2500
0.5000 0.0000 0.7500
0.0000 0.7500 0.5000
0.2500 0.5000 0.0000
0.7500 0.5000 0.0000
0.0000 0.5000 0.7500
0.2500 0.0000 0.5000
0.5000 0.7500 0.0000
0.5000 0.2500 0.0000
0.7500 0.0000 0.5000
0.0000 0.5000 0.2500
0.5000 0.5000 0.5000
0.0000 0.0000 0.0000
```

Energy of formation from the pure elements = 0.00 eV per atom
DOS at the Fermi energy = 8.45 states/eV per cell
VASP energy = -3.357 eV/atom
Offset from the most stable computed form = 2.71 eV per formula unit

***

Q: Which of these has the lowest DOS at the Fermi energy?
A: KNa3Cr

***

Q: Look up the DOS at the Fermi energy of the third one.
A: 13.83 states/eV per cell

***

Q: Among the records above, which one has the lowest VASP energy?
A: FeAs6Ru